Entry from the Alexandria database: a relaxed PbW2O crystal (PBE with a Hubbard U). Values from VASP.

Geometry as Quantum ESPRESSO input:
```
&SYSTEM
  ibrav = 0, nat = 8, ntyp = 3
/
ATOMIC_SPECIES
Pb 207.20 Pb.upf
O 16.00 O.upf
W 183.84 W.upf
CELL_PARAMETERS angstrom
5.4522 0.0000 0.0000
0.0000 5.4522 0.0000
2.7261 2.7261 6.4087
ATOMIC_POSITIONS crystal
Pb 0.0000 0.0000 0.0000
Pb 0.7500 0.2500 0.5000
O 0.5000 0.5000 0.0000
O 0.2500 0.7500 0.5000
W 0.4310 0.1250 0.2500
W 0.3190 0.6250 0.2500
W 0.3750 0.5690 0.7500
W 0.8750 0.6810 0.7500
```

volume = 23.814 A^3/atom
spin magnetization = 1.449 μB/atom
E = -5.26 eV per atom
ρ = 10.3 Mg/m³
space-group type = I-42d, No. 122